[1]
Density functional theory data (PBE-GGA) for a relaxed structure of Zn7GaAg3.

Lattice parameters (Å, degrees): 5.6099 5.6099 6.8139 90.00 90.00 120.00
Space group P3m1 (No. 156)
Symmetry-distinct sites (fractional):
Zn  0.0000  0.0000  0.0000 (multiplicity 1)
Zn  0.3392  0.1696  0.3319 (multiplicity 3)
Zn  0.5036  0.0071  0.9903 (multiplicity 3)
Ga  0.3333  0.6667  0.3274 (multiplicity 1)
Ag  0.1662  0.3325  0.6641 (multiplicity 3)

Calculated values
**E**: -20.1 eV/cell
**ΔE_f**: 0.037 eV per atom
**ρ**: 7.6 g/cm3
**Polymorph energy (0 for the lowest one)**: 0.0000 eV/atom



[2]
Density functional theory data (PBE-GGA) for a relaxed structure of ZnGa2Ag8.

Lattice parameters (Å, degrees): 10.2828 9.2276 4.7747 90.00 106.26 90.00
Space group C2/m (No. 12)
Symmetry-distinct sites (fractional):
Zn  0.0000  0.0000  0.0000 (multiplicity 2)
Ga  0.1456  0.0000  0.5384 (multiplicity 4)
Ag  0.0777  0.5000  0.2966 (multiplicity 4)
Ag  0.0883  0.2444  0.8016 (multiplicity 8)
Ag  0.2351  0.5000  0.8917 (multiplicity 4)

Calculated values
**E**: -57.4 eV/cell
**ΔE_f**: 0.129 eV per atom
**ρ**: 8.2 g/cm3
**Polymorph energy (0 for the lowest one)**: 0.1446 eV/atom



[3]
Density functional theory data (PBE-GGA) for a relaxed structure of Zn8Ga2Ag3.

Lattice parameters (Å, degrees): 5.1362 5.1362 28.8634 90.00 90.00 120.00
Space group R-3m (No. 166, hexagonal axes)
Symmetry-distinct sites (fractional):
Zn  0.0000  0.0000  0.2268 (multiplicity 6)
Zn  0.0012  0.5006  0.2684 (multiplicity 18)
Ga  0.0000  0.0000  0.1429 (multiplicity 6)
Ag  0.0000  0.0000  0.3176 (multiplicity 6)
Ag  0.0000  0.0000  0.5000 (multiplicity 3)

Calculated values
**E**: -72.1 eV/cell
**ΔE_f**: 0.060 eV per atom
**ρ**: 7.5 g/cm3



[4]
Density functional theory data (PBE-GGA) for a relaxed structure of Zn3Ga2Ag8.

Lattice parameters (Å, degrees): 8.0957 4.0174 8.2667 90.00 115.25 90.00
Space group P2/m (No. 10)
Symmetry-distinct sites (fractional):
Zn  0.0000  0.0000  0.0000 (multiplicity 1)
Zn  0.2408  0.5000  0.2385 (multiplicity 2)
Ga  0.2596  0.0000  0.7349 (multiplicity 2)
Ag  0.1112  0.0000  0.3822 (multiplicity 2)
Ag  0.1341  0.5000  0.8681 (multiplicity 2)
Ag  0.3829  0.0000  0.1062 (multiplicity 2)
Ag  0.3913  0.5000  0.6039 (multiplicity 2)

Calculated values
**E**: -31.5 eV/cell
**ΔE_f**: 0.088 eV per atom
**ρ**: 8.2 g/cm3
**Polymorph energy (0 for the lowest one)**: 0.0464 eV/atom